DFT (PBE-GGA) results for a relaxed Hf2InGa crystal.

Computed properties:
**Mass density**: 11.21 Mg/m³
**Energy of formation**: -1.166 eV per formula unit
**Fermi-level density of states**: 0.648 states/eV/atom
**Electronic total energy**: -6.71 eV per atom

Cell: 3.0596 3.0596 8.5670 Å, 90.00 90.00 90.00°
Last column: nearest neighbours and their distance in Å.
Space group P4/mmm (No. 123)
Inequivalent atoms, fractional coordinates:
Hf (0.0000, 0.0000, 0.2258) [2 per cell]  4 Ga 2.90, 4 Hf 3.06, 4 In 3.19
In (0.5000, 0.5000, 0.5000) [1 per cell]  4 In 3.06, 8 Hf 3.19
Ga (0.5000, 0.5000, 0.0000) [1 per cell]  8 Hf 2.90, 4 Ga 3.06


DFT (PBE-GGA) results for a relaxed Hf6In5Ga crystal.

Computed properties:
**Mass density**: 10.77 Mg/m³
**Energy of formation**: -1.001 eV per formula unit
**Fermi-level density of states**: 0.612 states/eV/atom
**Electronic total energy**: -6.45 eV per atom

Cell: 10.3949 9.9417 5.3212 Å, 90.00 105.98 90.00°
Last column: nearest neighbours and their distance in Å.
Space group C2/m (No. 12)
Inequivalent atoms, fractional coordinates:
Hf (0.2457, 0.1623, 0.2470) [8 per cell]  1 Ga 3.00, 5 In 3.04-3.26, 6 Hf 3.09-3.36
Hf (0.2486, 0.0000, 0.7523) [4 per cell]  5 In 3.05-3.25, 6 Hf 3.09-3.36, 1 Ga 3.21
In (0.0000, 0.1658, 0.5000) [4 per cell]  6 Hf 3.05-3.20, 2 Ga 3.13, 4 In 3.13-3.32
In (0.0000, 0.3321, 0.0000) [4 per cell]  6 Hf 3.04-3.26, 5 In 3.13-3.34, 1 Ga 3.30
In (0.0000, 0.5000, 0.5000) [2 per cell]  6 Hf 3.07-3.25, 6 In 3.14-3.32
Ga (0.0000, 0.0000, 0.0000) [2 per cell]  6 Hf 3.00-3.21, 6 In 3.13-3.30


DFT (PBE-GGA) results for a relaxed HfInGa2 crystal.

Computed properties:
**Mass density**: 8.71 Mg/m³
**Energy of formation**: 0.232 eV per formula unit
**Fermi-level density of states**: 0.419 states/eV/atom
**Electronic total energy**: -4.63 eV per atom

Cell: 4.4285 4.4285 14.5800 Å, 90.00 90.00 120.00°
Last column: nearest neighbours and their distance in Å.
Space group R-3m (No. 166, hexagonal axes)
Inequivalent atoms, fractional coordinates:
Hf (0.0000, 0.0000, 0.0000) [3 per cell]  6 Ga 2.82
In (0.0000, 0.0000, 0.5000) [3 per cell]  6 Ga 2.85
Ga (0.0000, 0.0000, 0.2523) [6 per cell]  3 Hf 2.82, 3 In 2.85


DFT (PBE-GGA) results for a relaxed Hf6InGa2 crystal.

Computed properties:
**Mass density**: 11.56 Mg/m³
**Energy of formation**: -0.947 eV per formula unit
**Fermi-level density of states**: 0.818 states/eV/atom
**Electronic total energy**: -7.72 eV per atom

Cell: 5.2988 8.1722 9.8563 Å, 90.00 116.89 90.00°
Last column: nearest neighbours and their distance in Å.
Space group P2_1/c (No. 14)
Inequivalent atoms, fractional coordinates:
Hf (0.0047, 0.1598, 0.0755) [4 per cell]  3 Ga 2.85-2.94, 1 In 2.88, 5 Hf 2.99-3.19
Hf (0.3954, 0.1847, 0.4331) [4 per cell]  1 In 2.89, 3 Ga 2.93-3.12, 4 Hf 3.02-3.19
Hf (0.4112, 0.5281, 0.3247) [4 per cell]  3 Ga 2.94-3.14, 1 In 2.96, 5 Hf 2.99-3.18
In (0.0000, 0.0000, 0.5000) [2 per cell]  6 Hf 2.88-2.96, 2 Ga 3.17
Ga (0.1754, 0.6330, 0.7525) [4 per cell]  9 Hf 2.85-3.14, 1 In 3.17


DFT (PBE-GGA) results for a relaxed Hf7InGa5 crystal.

Computed properties:
**Mass density**: 11.00 Mg/m³
**Energy of formation**: -3.343 eV per formula unit
**Fermi-level density of states**: 0.676 states/eV/atom
**Electronic total energy**: -6.99 eV per atom

Cell: 5.5338 9.7385 9.5927 Å, 90.00 90.00 90.00°
Last column: nearest neighbours and their distance in Å.
Space group Imm2 (No. 44)
Inequivalent atoms, fractional coordinates:
Hf (0.0000, 0.0000, 0.0000) [2 per cell]  9 Hf 3.02-3.33, 4 Ga 3.06, 1 In 3.38
Hf (0.0000, 0.0000, 0.3149) [2 per cell]  6 Ga 2.80-2.91, 1 Hf 3.02
Hf (0.0000, 0.3289, 0.0954) [4 per cell]  5 Ga 2.82-2.93, 1 Hf 2.90
Hf (0.0000, 0.3430, 0.6092) [4 per cell]  5 Ga 2.83-2.93, 2 Hf 2.98-3.06
Hf (0.0000, 0.5000, 0.3430) [2 per cell]  4 Ga 2.73, 4 Hf 2.90-2.98
In (0.0000, 0.0000, 0.6480) [2 per cell]  10 Hf 3.20-3.38, 4 Ga 3.36
Ga (0.0000, 0.5000, 0.8579) [2 per cell]  6 Hf 2.80-2.83, 4 Ga 2.87
Ga (0.2481, 0.2410, 0.8546) [8 per cell]  7 Hf 2.73-3.06, 3 Ga 2.75-2.87


DFT (PBE-GGA) results for a relaxed Hf8In2Ga crystal.

Computed properties:
**Mass density**: 11.64 Mg/m³
**Energy of formation**: 0.836 eV per formula unit
**Fermi-level density of states**: 1.016 states/eV/atom
**Electronic total energy**: -7.94 eV per atom

Cell: 7.6512 13.6677 5.2665 Å, 90.00 116.54 90.00°
Last column: nearest neighbours and their distance in Å.
Space group C2/m (No. 12)
Inequivalent atoms, fractional coordinates:
Hf (0.0000, 0.2103, 0.0000) [4 per cell]  1 Ga 2.87, 2 In 2.93, 2 Hf 3.15
Hf (0.0938, 0.5000, 0.7924) [4 per cell]  3 Hf 2.76-2.94, 1 Ga 2.80, 2 In 3.01
Hf (0.2097, 0.1097, 0.6724) [8 per cell]  5 Hf 2.90-3.15, 2 In 2.99-3.03, 1 Ga 3.20
In (0.0000, 0.3044, 0.5000) [4 per cell]  8 Hf 2.93-3.03
Ga (0.0000, 0.0000, 0.0000) [2 per cell]  4 Hf 2.80-2.87


DFT (PBE-GGA) results for a relaxed Hf2InGa crystal.

Computed properties:
**Mass density**: 11.19 Mg/m³
**Energy of formation**: -0.984 eV per formula unit
**Fermi-level density of states**: 0.564 states/eV/atom
**Electronic total energy**: -6.66 eV per atom

Cell: 4.3368 4.3368 4.2720 Å, 90.00 90.00 90.00°
Last column: nearest neighbours and their distance in Å.
Space group P4/mmm (No. 123)
Inequivalent atoms, fractional coordinates:
Hf (0.0000, 0.5000, 0.0000) [2 per cell]  4 In 3.04, 4 Ga 3.04, 4 Hf 3.07
In (0.0000, 0.0000, 0.5000) [1 per cell]  8 Hf 3.04, 4 Ga 3.07
Ga (0.5000, 0.5000, 0.5000) [1 per cell]  8 Hf 3.04, 4 In 3.07


DFT (PBE-GGA) results for a relaxed Hf2InGa crystal.

Computed properties:
**Mass density**: 10.68 Mg/m³
**Energy of formation**: -0.544 eV per formula unit
**Fermi-level density of states**: 1.130 states/eV/atom
**Electronic total energy**: -6.55 eV per atom

Cell: 3.1696 3.1696 29.0260 Å, 90.00 90.00 120.00°
Last column: nearest neighbours and their distance in Å.
Space group R-3m (No. 166, hexagonal axes)
Inequivalent atoms, fractional coordinates:
Hf (0.0000, 0.0000, 0.2455) [6 per cell]  3 Ga 2.93, 3 In 3.14, 6 Hf 3.17
In (0.0000, 0.0000, 0.0000) [3 per cell]  6 Hf 3.14, 6 In 3.17
Ga (0.0000, 0.0000, 0.5000) [3 per cell]  6 Hf 2.93, 6 Ga 3.17


DFT (PBE-GGA) results for a relaxed Hf4InGa crystal.

Computed properties:
**Mass density**: 11.74 Mg/m³
**Energy of formation**: -1.224 eV per formula unit
**Fermi-level density of states**: 1.200 states/eV/atom
**Electronic total energy**: -7.80 eV per atom

Cell: 6.8363 6.8363 5.4395 Å, 90.00 90.00 90.00°
Last column: nearest neighbours and their distance in Å.
Space group P4/mcc (No. 124)
Inequivalent atoms, fractional coordinates:
Hf (0.1412, 0.3383, 0.0000) [8 per cell]  2 Ga 2.85, 1 Hf 2.94, 2 In 3.01
In (0.5000, 0.5000, 0.2500) [2 per cell]  2 In 2.72, 8 Hf 3.01
Ga (0.0000, 0.0000, 0.2500) [2 per cell]  2 Ga 2.72, 8 Hf 2.85


DFT (PBE-GGA) results for a relaxed HfIn2Ga2 crystal.

Computed properties:
**Mass density**: 8.59 Mg/m³
**Offset from the most stable computed form**: 0 meV/atom
**Energy of formation**: 0.067 eV per formula unit
**Fermi-level density of states**: 0.708 states/eV/atom
**Electronic total energy**: -4.28 eV per atom

Cell: 7.2971 7.2971 3.9751 Å, 90.00 90.00 90.00°
Last column: nearest neighbours and their distance in Å.
Space group P4/mbm (No. 127)
Inequivalent atoms, fractional coordinates:
Hf (0.0000, 0.0000, 0.0000) [2 per cell]  4 Ga 2.86
In (0.1713, 0.3287, 0.5000) [4 per cell]  6 Ga 2.85-2.98
Ga (0.1303, 0.6303, 0.0000) [4 per cell]  1 Ga 2.69, 6 In 2.85-2.98, 2 Hf 2.86


DFT (PBE-GGA) results for a relaxed Hf6In2Ga crystal.

Computed properties:
**Mass density**: 10.47 Mg/m³
**Energy of formation**: 2.533 eV per formula unit
**Fermi-level density of states**: 0.681 states/eV/atom
**Electronic total energy**: -7.30 eV per atom

Cell: 4.6642 6.6382 14.0445 Å, 90.00 90.00 90.00°
Last column: nearest neighbours and their distance in Å.
Space group Immm (No. 71)
Inequivalent atoms, fractional coordinates:
Hf (0.0000, 0.2379, 0.0000) [4 per cell]  2 Ga 2.82, 2 In 2.91
Hf (0.0000, 0.2576, 0.3388) [8 per cell]  1 Ga 2.78, 3 In 2.89-2.91
In (0.0000, 0.5000, 0.1664) [4 per cell]  8 Hf 2.89-2.91
Ga (0.0000, 0.5000, 0.5000) [2 per cell]  8 Hf 2.78-2.82


DFT (PBE-GGA) results for a relaxed Hf2InGa crystal.

Computed properties:
**Mass density**: 10.29 Mg/m³
**Energy of formation**: 0.287 eV per formula unit
**Fermi-level density of states**: 0.838 states/eV/atom
**Electronic total energy**: -6.35 eV per atom

Cell: 7.6787 7.6787 5.9310 Å, 90.00 90.00 90.00°
Last column: nearest neighbours and their distance in Å.
Space group I-42d (No. 122)
Inequivalent atoms, fractional coordinates:
Hf (0.2328, 0.2500, 0.1250) [8 per cell]  2 Ga 2.73, 2 In 2.91, 2 Hf 2.98
In (0.0000, 0.0000, 0.5000) [4 per cell]  4 Hf 2.91, 2 Ga 2.97
Ga (0.0000, 0.0000, 0.0000) [4 per cell]  4 Hf 2.73, 2 In 2.97